{
  "formula": "InBIr2",
  "functional": "PBE",
  "state": "optimized geometry",
  "lattice_angstrom": [[-3.339, 3.339, 2.684], [3.339, -3.339, 2.684], [3.339, 3.339, -2.684]],
  "species": ["In", "In", "B", "B", "Ir", "Ir", "Ir", "Ir"],
  "fractional_positions": [[0.000, 0.000, 0.000], [0.750, 0.250, 0.500], [0.250, 0.750, 0.500], [0.500, 0.500, 0.000], [0.221, 0.125, 0.596], [0.375, 0.779, 0.904], [0.529, 0.625, 0.404], [0.875, 0.471, 0.096]],
  "e_tot_ev_per_atom": -6.8248,
  "formation_energy_mev_per_atom": -40
}